1.
Ti2MnGaH after structural relaxation, computed with PBE.

Cell: 4.160 4.160 3.488 Å, 90.00 90.00 90.00°
Positions (direct):
Ga 0.500 0.500 0.500
Ti 0.500 0.000 0.000
Ti 0.000 0.500 0.000
H 0.000 0.000 0.000
Mn 0.000 0.000 0.500

VASP energy = -6.64 eV per atom
magnetic moment = 0.8 μB/f.u.

2.
CsRb2ZnH after structural relaxation, computed with PBE.

Cell: 5.893 5.893 6.230 Å, 90.00 90.00 90.00°
Positions (direct):
Zn 0.500 0.500 0.500
Rb 0.000 0.500 0.000
Rb 0.500 0.000 0.000
H 0.000 0.000 0.000
Cs 0.000 0.000 0.500

VASP energy = -1.40 eV per atom
magnetic moment = 0.0 μB/f.u.